Record 1
GdSnPbSe3: relaxed, GGA-PBE.

Raw total energy: -4.702 eV/atom
Calculated density: 6.8 g cm⁻³

abc: 7.729 7.729 11.742
angles: 90.00 90.00 149.71
Positions (direct):
1 Se 0.000 0.000 0.750
2 Se 0.364 0.636 0.496
3 Se 0.364 0.636 0.004
4 Se 0.636 0.364 0.996
5 Se 0.636 0.364 0.504
6 Se 0.000 0.000 0.250
7 Pb 0.334 0.666 0.750
8 Pb 0.666 0.334 0.250
9 Sn 0.645 0.355 0.750
10 Sn 0.355 0.645 0.250
11 Gd 0.000 0.000 0.000
12 Gd 0.000 0.000 0.500

***

Record 2
GdSiPb: relaxed, GGA-PBE.

Raw total energy: -4.463 eV/atom
Calculated density: 7.4 g cm⁻³
ΔE to the lowest computed polymorph: 208.6 meV/atom

abc: 4.988 4.988 4.988
angles: 60.00 60.00 60.00
Positions (direct):
1 Pb 0.250 0.250 0.250
2 Si 0.750 0.750 0.750
3 Gd 0.000 0.000 0.000

***

Record 3
GdSiPb: relaxed, GGA-PBE.

Raw total energy: -4.672 eV/atom
Calculated density: 7.7 g cm⁻³
ΔE to the lowest computed polymorph: 0.0 meV/atom

abc: 4.934 4.934 4.934
angles: 60.00 60.00 60.00
Positions (direct):
1 Pb 0.750 0.750 0.750
2 Gd 0.250 0.250 0.250
3 Si 0.000 0.000 0.000

***

Record 4
SmGdPb2: relaxed, GGA-PBE.

Raw total energy: -4.727 eV/atom
Calculated density: 9.9 g cm⁻³

abc: 4.468 6.330 6.330
angles: 42.49 90.00 90.00
Positions (direct):
1 Sm 0.500 0.369 0.369
2 Pb 0.000 0.901 0.901
3 Pb 0.500 0.099 0.099
4 Gd 0.000 0.631 0.631

***

Record 5
Sm2GdPb7: relaxed, GGA-PBE.

Raw total energy: -4.397 eV/atom
Calculated density: 10.9 g cm⁻³

abc: 13.216 13.216 4.721
angles: 90.00 90.00 159.42
Positions (direct):
1 Pb 0.596 0.404 0.000
2 Pb 0.707 0.293 0.500
3 Pb 0.293 0.707 0.500
4 Pb 0.904 0.096 0.500
5 Pb 0.500 0.500 0.500
6 Pb 0.096 0.904 0.500
7 Pb 0.404 0.596 0.000
8 Sm 0.812 0.188 0.000
9 Sm 0.188 0.812 0.000
10 Gd 0.000 0.000 0.000

***

Record 6
Gd3Sn3Pb4: relaxed, GGA-PBE.

Raw total energy: -4.520 eV/atom
Calculated density: 9.8 g cm⁻³
ΔE to the lowest computed polymorph: 8.1 meV/atom

abc: 13.066 13.066 4.641
angles: 90.00 90.00 159.29
Positions (direct):
1 Pb 0.294 0.706 0.500
2 Pb 0.404 0.596 0.000
3 Pb 0.706 0.294 0.500
4 Pb 0.596 0.404 0.000
5 Gd 0.186 0.814 0.000
6 Gd 0.814 0.186 0.000
7 Gd 0.000 0.000 0.000
8 Sn 0.096 0.904 0.500
9 Sn 0.500 0.500 0.500
10 Sn 0.904 0.096 0.500

***

Record 7
Gd3Sn3Pb4: relaxed, GGA-PBE.

Raw total energy: -4.519 eV/atom
Calculated density: 9.8 g cm⁻³
ΔE to the lowest computed polymorph: 9.4 meV/atom

abc: 13.099 13.099 4.696
angles: 90.00 90.00 159.63
Positions (direct):
1 Pb 0.294 0.706 0.500
2 Pb 0.706 0.294 0.500
3 Pb 0.904 0.096 0.500
4 Pb 0.096 0.904 0.500
5 Gd 0.813 0.187 0.000
6 Gd 0.000 0.000 0.000
7 Gd 0.187 0.813 0.000
8 Sn 0.500 0.500 0.500
9 Sn 0.405 0.595 0.000
10 Sn 0.595 0.405 0.000

***

Record 8
Gd2SnPb: relaxed, GGA-PBE.

Raw total energy: -4.886 eV/atom
Calculated density: 9.2 g cm⁻³

abc: 4.377 6.241 6.241
angles: 42.67 90.00 90.00
Positions (direct):
1 Pb 0.000 0.594 0.594
2 Sn 0.500 0.405 0.405
3 Gd 0.000 0.865 0.865
4 Gd 0.500 0.136 0.136

***

Record 9
Gd3Sn3Pb4: relaxed, GGA-PBE.

Raw total energy: -4.528 eV/atom
Calculated density: 9.8 g cm⁻³
ΔE to the lowest computed polymorph: 0.0 meV/atom

abc: 13.142 13.142 4.691
angles: 90.00 90.00 159.73
Positions (direct):
1 Pb 0.098 0.902 0.500
2 Pb 0.902 0.098 0.500
3 Pb 0.597 0.403 0.000
4 Pb 0.403 0.597 0.000
5 Sn 0.709 0.291 0.500
6 Sn 0.291 0.709 0.500
7 Sn 0.500 0.500 0.500
8 Gd 0.809 0.191 0.000
9 Gd 0.000 0.000 0.000
10 Gd 0.191 0.809 0.000

***

Record 10
Tb2GdSn5Pb2: relaxed, GGA-PBE.

Raw total energy: -4.621 eV/atom
Calculated density: 9.0 g cm⁻³
ΔE to the lowest computed polymorph: 0.5 meV/atom

abc: 13.024 13.024 4.606
angles: 90.00 90.00 159.58
Positions (direct):
1 Sn 0.402 0.598 0.500
2 Sn 0.209 0.791 0.500
3 Sn 0.791 0.209 0.500
4 Sn 0.598 0.402 0.500
5 Sn 0.000 0.000 0.500
6 Pb 0.903 0.097 0.000
7 Pb 0.097 0.903 0.000
8 Tb 0.311 0.689 0.000
9 Tb 0.689 0.311 0.000
10 Gd 0.500 0.500 0.000

***

Record 11
Tb2GdSn3Pb4: relaxed, GGA-PBE.

Raw total energy: -4.503 eV/atom
Calculated density: 9.9 g cm⁻³
ΔE to the lowest computed polymorph: 9.8 meV/atom

abc: 13.081 13.081 4.686
angles: 90.00 90.00 159.63
Positions (direct):
1 Pb 0.206 0.794 0.500
2 Pb 0.597 0.403 0.500
3 Pb 0.403 0.597 0.500
4 Pb 0.794 0.206 0.500
5 Sn 0.096 0.904 0.000
6 Sn 0.000 0.000 0.500
7 Sn 0.904 0.096 0.000
8 Gd 0.500 0.500 0.000
9 Tb 0.687 0.313 0.000
10 Tb 0.313 0.687 0.000

***

Record 12
Tb2GdSnPb6: relaxed, GGA-PBE.

Raw total energy: -4.397 eV/atom
Calculated density: 10.7 g cm⁻³

abc: 13.103 13.103 4.699
angles: 90.00 90.00 159.30
Positions (direct):
1 Gd 0.500 0.500 0.000
2 Pb 0.403 0.597 0.500
3 Pb 0.206 0.794 0.500
4 Pb 0.096 0.904 0.000
5 Pb 0.904 0.096 0.000
6 Pb 0.794 0.206 0.500
7 Pb 0.597 0.403 0.500
8 Sn 0.000 0.000 0.500
9 Tb 0.689 0.311 0.000
10 Tb 0.311 0.689 0.000

***

Record 13
TbGd2Sn5Pb2: relaxed, GGA-PBE.

Raw total energy: -4.628 eV/atom
Calculated density: 9.0 g cm⁻³
ΔE to the lowest computed polymorph: 0.6 meV/atom

abc: 13.050 13.050 4.611
angles: 90.00 90.00 159.64
Positions (direct):
1 Gd 0.311 0.689 0.000
2 Gd 0.689 0.311 0.000
3 Sn 0.000 0.000 0.500
4 Sn 0.791 0.209 0.500
5 Sn 0.597 0.403 0.500
6 Sn 0.403 0.597 0.500
7 Sn 0.209 0.791 0.500
8 Pb 0.903 0.097 0.000
9 Pb 0.097 0.903 0.000
10 Tb 0.500 0.500 0.000

***

Record 14
Tb2GdSn3Pb4: relaxed, GGA-PBE.

Raw total energy: -4.504 eV/atom
Calculated density: 9.9 g cm⁻³
ΔE to the lowest computed polymorph: 8.4 meV/atom

abc: 13.049 13.049 4.632
angles: 90.00 90.00 159.27
Positions (direct):
1 Sn 0.000 0.000 0.500
2 Sn 0.596 0.404 0.500
3 Sn 0.404 0.596 0.500
4 Pb 0.206 0.794 0.500
5 Pb 0.096 0.904 0.000
6 Pb 0.904 0.096 0.000
7 Pb 0.794 0.206 0.500
8 Gd 0.500 0.500 0.000
9 Tb 0.314 0.686 0.000
10 Tb 0.686 0.314 0.000

***

Record 15
Tb2GdSn5Pb2: relaxed, GGA-PBE.

Raw total energy: -4.622 eV/atom
Calculated density: 9.0 g cm⁻³
ΔE to the lowest computed polymorph: 0.0 meV/atom

abc: 13.062 13.062 4.672
angles: 90.00 90.00 160.02
Positions (direct):
1 Sn 0.291 0.709 0.500
2 Sn 0.404 0.596 0.000
3 Sn 0.500 0.500 0.500
4 Sn 0.709 0.291 0.500
5 Sn 0.596 0.404 0.000
6 Gd 0.000 0.000 0.000
7 Pb 0.902 0.098 0.500
8 Pb 0.098 0.902 0.500
9 Tb 0.811 0.189 0.000
10 Tb 0.189 0.811 0.000

***

Record 16
TbGd2Sn5Pb2: relaxed, GGA-PBE.

Raw total energy: -4.623 eV/atom
Calculated density: 9.0 g cm⁻³
ΔE to the lowest computed polymorph: 6.1 meV/atom

abc: 13.003 13.003 4.617
angles: 90.00 90.00 159.56
Positions (direct):
1 Pb 0.706 0.294 0.500
2 Pb 0.294 0.706 0.500
3 Sn 0.095 0.905 0.500
4 Sn 0.595 0.405 0.000
5 Sn 0.500 0.500 0.500
6 Sn 0.405 0.595 0.000
7 Sn 0.905 0.095 0.500
8 Gd 0.816 0.184 0.000
9 Gd 0.184 0.816 0.000
10 Tb 0.000 0.000 0.000

***

Record 17
Tb2GdSn3Pb4: relaxed, GGA-PBE.

Raw total energy: -4.512 eV/atom
Calculated density: 9.9 g cm⁻³
ΔE to the lowest computed polymorph: 0.0 meV/atom

abc: 13.139 13.139 4.678
angles: 90.00 90.00 159.76
Positions (direct):
1 Sn 0.500 0.500 0.500
2 Sn 0.709 0.291 0.500
3 Sn 0.291 0.709 0.500
4 Tb 0.809 0.191 0.000
5 Tb 0.191 0.809 0.000
6 Gd 0.000 0.000 0.000
7 Pb 0.403 0.597 0.000
8 Pb 0.099 0.901 0.500
9 Pb 0.597 0.403 0.000
10 Pb 0.901 0.099 0.500

***

Record 18
Tb2GdSn5Pb2: relaxed, GGA-PBE.

Raw total energy: -4.615 eV/atom
Calculated density: 9.1 g cm⁻³
ΔE to the lowest computed polymorph: 6.1 meV/atom

abc: 12.967 12.967 4.613
angles: 90.00 90.00 159.49
Positions (direct):
1 Tb 0.184 0.816 0.000
2 Tb 0.816 0.184 0.000
3 Sn 0.405 0.595 0.000
4 Sn 0.904 0.096 0.500
5 Sn 0.595 0.405 0.000
6 Sn 0.500 0.500 0.500
7 Sn 0.096 0.904 0.500
8 Pb 0.294 0.706 0.500
9 Pb 0.706 0.294 0.500
10 Gd 0.000 0.000 0.000

***

Record 19
TbGd2Sn5Pb2: relaxed, GGA-PBE.

Raw total energy: -4.629 eV/atom
Calculated density: 9.0 g cm⁻³
ΔE to the lowest computed polymorph: 0.0 meV/atom

abc: 13.077 13.077 4.675
angles: 90.00 90.00 160.05
Positions (direct):
1 Sn 0.404 0.596 0.000
2 Sn 0.500 0.500 0.500
3 Sn 0.709 0.291 0.500
4 Sn 0.291 0.709 0.500
5 Sn 0.596 0.404 0.000
6 Gd 0.189 0.811 0.000
7 Gd 0.811 0.189 0.000
8 Tb 0.000 0.000 0.000
9 Pb 0.098 0.902 0.500
10 Pb 0.902 0.098 0.500

***

Record 20
TbGd2SnPb6: relaxed, GGA-PBE.

Raw total energy: -4.405 eV/atom
Calculated density: 10.7 g cm⁻³

abc: 13.137 13.137 4.708
angles: 90.00 90.00 159.38
Positions (direct):
1 Gd 0.689 0.311 0.500
2 Gd 0.311 0.689 0.500
3 Pb 0.206 0.794 0.000
4 Pb 0.096 0.904 0.500
5 Pb 0.794 0.206 0.000
6 Pb 0.597 0.403 0.000
7 Pb 0.403 0.597 0.000
8 Pb 0.904 0.096 0.500
9 Sn 0.000 0.000 0.000
10 Tb 0.500 0.500 0.500

***

Record 21
Gd3Tl2Sn2Pb3: relaxed, GGA-PBE.

Raw total energy: -4.183 eV/atom
Calculated density: 10.3 g cm⁻³
ΔE to the lowest computed polymorph: 11.4 meV/atom

abc: 13.082 13.082 4.737
angles: 90.00 90.00 159.86
Positions (direct):
1 Gd 0.813 0.187 0.000
2 Gd 0.000 0.000 0.000
3 Gd 0.187 0.813 0.000
4 Pb 0.500 0.500 0.500
5 Pb 0.294 0.706 0.500
6 Pb 0.706 0.294 0.500
7 Sn 0.404 0.596 0.000
8 Sn 0.596 0.404 0.000
9 Tl 0.901 0.099 0.500
10 Tl 0.099 0.901 0.500

***

Record 22
Gd3Tl3Sn2Pb2: relaxed, GGA-PBE.

Raw total energy: -4.044 eV/atom
Calculated density: 10.4 g cm⁻³
ΔE to the lowest computed polymorph: 4.4 meV/atom

abc: 13.038 13.038 4.647
angles: 90.00 90.00 159.48
Positions (direct):
1 Sn 0.708 0.292 0.000
2 Sn 0.292 0.708 0.000
3 Pb 0.902 0.098 0.000
4 Pb 0.098 0.902 0.000
5 Tl 0.597 0.403 0.500
6 Tl 0.500 0.500 0.000
7 Tl 0.403 0.597 0.500
8 Gd 0.809 0.191 0.500
9 Gd 0.000 0.000 0.500
10 Gd 0.191 0.809 0.500

***

Record 23
Gd3Tl2Sn2Pb3: relaxed, GGA-PBE.

Raw total energy: -4.145 eV/atom
Calculated density: 10.4 g cm⁻³
ΔE to the lowest computed polymorph: 50.0 meV/atom

abc: 12.584 12.584 4.743
angles: 90.00 90.00 158.25
Positions (direct):
1 Pb 0.500 0.500 0.500
2 Pb 0.599 0.401 0.000
3 Pb 0.401 0.599 0.000
4 Sn 0.900 0.100 0.500
5 Sn 0.100 0.900 0.500
6 Gd 0.000 0.000 0.000
7 Gd 0.810 0.190 0.000
8 Gd 0.190 0.810 0.000
9 Tl 0.707 0.293 0.500
10 Tl 0.293 0.707 0.500